[1]
# ThCd4Ag

An optimized crystal structure of ThCd4Ag (PBE-GGA, the Alexandria database).

Cell and atoms, written as CIF:
```
data_ThCd4Ag
_symmetry_space_group_name_H-M 'P 1'
_symmetry_Int_Tables_number 1
_symmetry_space_group_name_Hall 'P 1'
_cell_length_a 4.931
_cell_length_b 4.931
_cell_length_c 6.734
_cell_angle_alpha 90.00
_cell_angle_beta 90.00
_cell_angle_gamma 120.00
loop_
_atom_site_label
_atom_site_type_symbol
_atom_site_fract_x
_atom_site_fract_y
_atom_site_fract_z
Th1 Th 0.000 0.000 0.000
Cd1 Cd 0.333 0.667 0.267
Cd2 Cd 0.333 0.667 0.733
Cd3 Cd 0.667 0.333 0.267
Cd4 Cd 0.667 0.333 0.733
Ag1 Ag 0.000 0.000 0.500
```

Computed properties:
crystal system = hexagonal
excess energy over the best structure of this formula in the dataset = 8 kJ/mol of formula units
space group = P6/mmm (191)



[2]
# PrTl2Au

An optimized crystal structure of PrTl2Au (PBE-GGA, the Alexandria database).

Cell and atoms, written as CIF:
```
data_PrTl2Au
_symmetry_space_group_name_H-M 'P 1'
_symmetry_Int_Tables_number 1
_symmetry_space_group_name_Hall 'P 1'
_cell_length_a 4.658
_cell_length_b 4.658
_cell_length_c 4.838
_cell_angle_alpha 90.00
_cell_angle_beta 90.00
_cell_angle_gamma 90.00
loop_
_atom_site_label
_atom_site_type_symbol
_atom_site_fract_x
_atom_site_fract_y
_atom_site_fract_z
Pr1 Pr 0.000 0.000 0.000
Tl1 Tl 0.000 0.500 0.500
Tl2 Tl 0.500 0.000 0.500
Au1 Au 0.500 0.500 0.000
```

Computed properties:
crystal system = tetragonal
excess energy over the best structure of this formula in the dataset = 31 kJ/mol of formula units
space group = P4/mmm (123)



[3]
# SmYEr2S6

An optimized crystal structure of SmYEr2S6 (PBE-GGA, the Alexandria database).

Cell and atoms, written as CIF:
```
data_SmYEr2S6
_symmetry_space_group_name_H-M 'P 1'
_symmetry_Int_Tables_number 1
_symmetry_space_group_name_Hall 'P 1'
_cell_length_a 7.348
_cell_length_b 7.348
_cell_length_c 7.348
_cell_angle_alpha 56.23
_cell_angle_beta 56.23
_cell_angle_gamma 56.23
loop_
_atom_site_label
_atom_site_type_symbol
_atom_site_fract_x
_atom_site_fract_y
_atom_site_fract_z
Sm1 Sm 0.000 0.000 0.000
Y1 Y 0.497 0.497 0.497
Er1 Er 0.296 0.296 0.296
Er2 Er 0.798 0.798 0.798
S1 S 0.089 0.684 0.411
S2 S 0.194 0.588 0.902
S3 S 0.411 0.089 0.684
S4 S 0.588 0.902 0.194
S5 S 0.684 0.411 0.089
S6 S 0.902 0.194 0.588
```

Computed properties:
raw formation energy = -2.0547 eV per atom
crystal system = trigonal
space group = R3 (146)



[4]
# Tm2ZnCu3

An optimized crystal structure of Tm2ZnCu3 (PBE-GGA, the Alexandria database).

Cell and atoms, written as CIF:
```
data_Tm2ZnCu3
_symmetry_space_group_name_H-M 'P 1'
_symmetry_Int_Tables_number 1
_symmetry_space_group_name_Hall 'P 1'
_cell_length_a 8.555
_cell_length_b 8.133
_cell_length_c 5.512
_cell_angle_alpha 74.92
_cell_angle_beta 66.62
_cell_angle_gamma 38.47
loop_
_atom_site_label
_atom_site_type_symbol
_atom_site_fract_x
_atom_site_fract_y
_atom_site_fract_z
Tm1 Tm 0.247 0.753 0.753
Tm2 Tm 0.250 0.250 0.250
Tm3 Tm 0.750 0.750 0.750
Tm4 Tm 0.753 0.247 0.247
Zn1 Zn 0.333 0.333 0.667
Zn2 Zn 0.667 0.667 0.333
Cu1 Cu 0.165 0.165 0.835
Cu2 Cu 0.166 0.667 0.333
Cu3 Cu 0.333 0.834 0.166
Cu4 Cu 0.667 0.166 0.834
Cu5 Cu 0.834 0.333 0.667
Cu6 Cu 0.835 0.835 0.165
```

Computed properties:
crystal system = orthorhombic
excess energy over the best structure of this formula in the dataset = 12 kJ/mol of formula units
space group = Fmmm (69)



[5]
# Cs2NiGeCl6

An optimized crystal structure of Cs2NiGeCl6 (PBE-GGA, the Alexandria database).

Cell and atoms, written as CIF:
```
data_Cs2NiGeCl6
_symmetry_space_group_name_H-M 'P 1'
_symmetry_Int_Tables_number 1
_symmetry_space_group_name_Hall 'P 1'
_cell_length_a 7.259
_cell_length_b 7.259
_cell_length_c 7.259
_cell_angle_alpha 120.05
_cell_angle_beta 120.05
_cell_angle_gamma 89.91
loop_
_atom_site_label
_atom_site_type_symbol
_atom_site_fract_x
_atom_site_fract_y
_atom_site_fract_z
Cs1 Cs 0.250 0.750 0.500
Cs2 Cs 0.750 0.250 0.500
Ni1 Ni 0.000 0.000 0.000
Ge1 Ge 0.500 0.500 0.000
Cl1 Cl 0.239 0.239 0.479
Cl2 Cl 0.239 0.761 0.000
Cl3 Cl 0.240 0.240 0.000
Cl4 Cl 0.760 0.760 0.000
Cl5 Cl 0.761 0.239 0.000
Cl6 Cl 0.761 0.761 0.521
```

Computed properties:
raw formation energy = -1.2105 eV per atom
crystal system = tetragonal
space group = I4/mmm (139)



[6]
# TmThCu2Ge2

An optimized crystal structure of TmThCu2Ge2 (PBE-GGA, the Alexandria database).

Cell and atoms, written as CIF:
```
data_TmThCu2Ge2
_symmetry_space_group_name_H-M 'P 1'
_symmetry_Int_Tables_number 1
_symmetry_space_group_name_Hall 'P 1'
_cell_length_a 4.232
_cell_length_b 4.232
_cell_length_c 7.634
_cell_angle_alpha 90.00
_cell_angle_beta 90.00
_cell_angle_gamma 120.00
loop_
_atom_site_label
_atom_site_type_symbol
_atom_site_fract_x
_atom_site_fract_y
_atom_site_fract_z
Tm1 Tm 0.000 0.000 0.000
Th1 Th 0.000 0.000 0.500
Cu1 Cu 0.333 0.667 0.763
Cu2 Cu 0.667 0.333 0.237
Ge1 Ge 0.333 0.667 0.238
Ge2 Ge 0.667 0.333 0.762
```

Computed properties:
crystal system = trigonal
final energy = -0.2036 hartree per atom
space group = P-3m1 (164)